(a)
LuTaNi2: optimized geometry, PBE.

total moment	0.00	μB per formula unit
symmetry	P4/mmm
N(E_F)	3.4	states/eV/f.u.
theoretical density	11.93	g cm⁻³

The structure in POSCAR format:
```
LuTaNi2
1.0
-1.081 1.743 2.417
0.827 -2.295 2.025
5.921 2.731 0.678
Lu Ta Ni
1 1 2
direct
0.500 0.500 0.500
0.500 0.500 0.000
0.000 0.000 0.797
0.000 0.000 0.203
```


(b)
LuTaNi2: optimized geometry, PBE.

total moment	0.00	μB per formula unit
symmetry	P4/mmm
N(E_F)	4.5	states/eV/f.u.
theoretical density	12.34	g cm⁻³

The structure in POSCAR format:
```
LuTaNi2
1.0
2.978 0.000 0.000
0.000 4.625 0.000
0.000 0.000 4.625
Ta Ni Lu
1 2 1
direct
0.500 0.000 0.000
0.000 0.500 0.000
0.000 0.000 0.500
0.500 0.500 0.500
```


(c)
LuTaNi2: optimized geometry, PBE.

total moment	0.00	μB per formula unit
symmetry	R-3m
N(E_F)	2.3	states/eV/f.u.
theoretical density	11.28	g cm⁻³

The structure in POSCAR format:
```
LuTaNi2
1.0
4.255 0.000 0.000
2.127 3.685 0.000
2.127 1.228 4.444
Ta Ni Lu
1 2 1
direct
0.500 0.500 0.500
0.207 0.207 0.378
0.793 0.793 0.622
0.000 0.000 0.000
```


Tell me which of them is the least stable. Sure, it is (b).


(a)
LuThNi2: optimized geometry, PBE.

total moment	0.01	μB per formula unit
symmetry	P4/mmm
N(E_F)	3.6	states/eV/f.u.
theoretical density	11.01	g cm⁻³

The structure in POSCAR format:
```
LuThNi2
1.0
3.404 0.000 0.000
0.000 4.819 0.000
0.000 0.000 4.819
Ni Th Lu
2 1 1
direct
0.000 0.500 0.000
0.000 0.000 0.500
0.500 0.000 0.000
0.500 0.500 0.500
```


(b)
LuThNi2: optimized geometry, PBE.

total moment	0.00	μB per formula unit
symmetry	Fm-3m
N(E_F)	1.9	states/eV/f.u.
theoretical density	10.94	g cm⁻³

The structure in POSCAR format:
```
LuThNi2
1.0
-2.337 -4.206 -0.405
2.219 -3.816 -1.957
1.266 -3.742 2.777
Lu Ni Th
1 2 1
direct
0.500 0.500 0.500
0.250 0.250 0.250
0.750 0.750 0.750
0.000 0.000 0.000
```


Tell me which of them is the least stable. Sure, it is (a).


(a)
LuTiNi2: optimized geometry, PBE.

total moment	0.00	μB per formula unit
symmetry	P4/mmm
N(E_F)	4.0	states/eV/f.u.
theoretical density	8.99	g cm⁻³

The structure in POSCAR format:
```
LuTiNi2
1.0
-0.161 2.113 -2.364
-0.779 -3.291 -2.889
-4.374 0.433 0.686
Ti Lu Ni
1 1 2
direct
0.500 0.000 0.000
0.500 0.500 0.500
0.000 0.500 0.000
0.000 0.000 0.500
```


(b)
LuTiNi2: optimized geometry, PBE.

total moment	0.00	μB per formula unit
symmetry	P4/mmm
N(E_F)	4.0	states/eV/f.u.
theoretical density	8.95	g cm⁻³

The structure in POSCAR format:
```
LuTiNi2
1.0
3.121 0.000 0.000
0.000 3.121 0.000
0.000 0.000 6.482
Ni Lu Ti
2 1 1
direct
0.000 0.000 0.205
0.000 0.000 0.795
0.500 0.500 0.500
0.500 0.500 0.000
```


Tell me which of them is the least stable. Sure, it is (a).